No. 1
VASP calculation (PBE-GGA) on a relaxed ScGa3Cl crystal.

Unit cell a=5.4745 b=5.4745 c=5.4745 alpha=90.00 beta=90.00 gamma=90.00
Closest atoms and distances in Å follow each position.
Sites, in units of the cell vectors:
Sc  0.0000  0.0000  0.0000  6 Ga 2.74
Ga  0.0000  0.0000  0.5000  2 Sc 2.74
Ga  0.0000  0.5000  0.0000  2 Sc 2.74
Ga  0.5000  0.0000  0.0000  2 Sc 2.74
Cl  0.5000  0.5000  0.5000  12 Ga 3.87

Values from the calculation:
Total magnetization (μB per atom): 0.504
Formation energy (no corrections) (eV/atom): 0.38
Volume (Å³ per atom): 32.81
Calculated total energy (eV per atom): -3.068
Energy above the lowest structure with this stoichiometry (meV per atom): 114

No. 2
VASP calculation (PBE-GGA) on a relaxed K2Rb4Na crystal.

Unit cell a=12.5484 b=12.5484 c=12.5484 alpha=145.54 beta=145.54 gamma=49.53
Closest atoms and distances in Å follow each position.
Sites, in units of the cell vectors:
K  0.1241  0.1241  0.0000  5 Rb 4.52-4.67
K  0.8759  0.8759  0.0000  5 Rb 4.52-4.67
Rb  0.0000  0.5000  0.5000  2 Na 3.72
Rb  0.3223  0.3223  0.0000  1 Na 4.05, 1 K 4.52
Rb  0.5000  0.0000  0.5000  2 Na 3.72
Rb  0.6777  0.6777  0.0000  1 Na 4.05, 1 K 4.52
Na  0.5000  0.5000  0.0000  6 Rb 3.72-4.05

Values from the calculation:
E_form (eV/atom): 0.107
Total magnetization (μB per atom): 0.000
Volume (Å³ per atom): 89.94
Calculated total energy (eV per atom): -0.948
Energy above the lowest structure with this stoichiometry (meV per atom): 75

No. 3
VASP calculation (PBE-GGA) on a relaxed La2Sm12Ho crystal.

Unit cell a=6.8155 b=6.8155 c=25.0598 alpha=90.00 beta=90.00 gamma=116.06
Closest atoms and distances in Å follow each position.
Sites, in units of the cell vectors:
La  0.2500  0.7500  0.2339  2 La 3.61, 10 Sm 3.74-3.96
La  0.2500  0.7500  0.7738  2 La 3.61, 8 Sm 3.66-3.90
La  0.7500  0.2500  0.2262  2 La 3.61, 8 Sm 3.66-3.90
La  0.7500  0.2500  0.7661  2 La 3.61, 10 Sm 3.74-3.96
Sm  0.0013  0.5013  0.6255  8 Sm 3.42-3.63, 2 Ho 3.62-3.63
Sm  0.0005  0.9995  0.4246  2 Ho 3.45-3.46, 9 Sm 3.57-3.78
Sm  0.0205  0.5205  0.0815  7 Sm 3.31-3.69
Sm  0.0242  0.9758  0.9404  5 Sm 3.04-3.37
Sm  0.2500  0.2500  0.1727  5 Sm 3.23-3.61
Sm  0.2500  0.2500  0.3016  7 Sm 3.23-3.61
Sm  0.2500  0.2500  0.6984  7 Sm 3.23-3.61
Sm  0.2500  0.2500  0.8273  5 Sm 3.23-3.61
Sm  0.4758  0.5242  0.9404  5 Sm 3.04-3.37
Sm  0.4795  0.9795  0.0815  7 Sm 3.31-3.69
Sm  0.4995  0.5005  0.4246  2 Ho 3.45-3.46, 9 Sm 3.57-3.78
Sm  0.4987  0.9987  0.6255  8 Sm 3.42-3.63, 2 Ho 3.62-3.63
Sm  0.5013  0.0013  0.3745  8 Sm 3.42-3.63, 2 Ho 3.62-3.63
Sm  0.5005  0.4995  0.5754  2 Ho 3.45-3.46, 9 Sm 3.57-3.78
Sm  0.5205  0.0205  0.9185  7 Sm 3.31-3.69
Sm  0.5242  0.4758  0.0596  5 Sm 3.04-3.37
Sm  0.7500  0.7500  0.1727  5 Sm 3.23-3.61
Sm  0.7500  0.7500  0.3016  7 Sm 3.23-3.61
Sm  0.7500  0.7500  0.6984  7 Sm 3.23-3.61
Sm  0.7500  0.7500  0.8273  5 Sm 3.23-3.61
Sm  0.9758  0.0242  0.0596  5 Sm 3.04-3.37
Sm  0.9795  0.4795  0.9185  7 Sm 3.31-3.69
Sm  0.9995  0.0005  0.5754  2 Ho 3.45-3.46, 9 Sm 3.57-3.78
Sm  0.9987  0.4987  0.3745  8 Sm 3.42-3.63, 2 Ho 3.62-3.63
Ho  0.2500  0.7500  0.5001  8 Sm 3.45-3.63, 2 Ho 3.61
Ho  0.7500  0.2500  0.4999  8 Sm 3.45-3.63, 2 Ho 3.61

Values from the calculation:
E_form (eV/atom): 0.150
Total magnetization (μB per atom): 0.000
Volume (Å³ per atom): 34.86
Calculated total energy (eV per atom): -4.587

No. 4
VASP calculation (PBE-GGA) on a relaxed La3SnIBr crystal.

Unit cell a=9.5547 b=4.4409 c=10.0540 alpha=90.00 beta=103.02 gamma=90.00
Closest atoms and distances in Å follow each position.
Sites, in units of the cell vectors:
La  0.1453  0.2500  0.4632  2 Br 3.05, 3 Sn 3.34-3.37
La  0.1455  0.2500  0.1019  3 Sn 3.35, 2 I 3.36, 1 La 3.63
La  0.2961  0.7500  0.8203  1 Br 3.00, 2 Sn 3.24, 1 I 3.29
La  0.7039  0.2500  0.1797  1 Br 3.00, 2 Sn 3.24, 1 I 3.29
La  0.8545  0.7500  0.8981  3 Sn 3.35, 2 I 3.36, 1 La 3.63
La  0.8547  0.7500  0.5368  2 Br 3.05, 3 Sn 3.34-3.37
Sn  0.0430  0.2500  0.7600  8 La 3.24-3.37
Sn  0.9570  0.7500  0.2400  8 La 3.24-3.37
I  0.4158  0.7500  0.1538  5 La 3.29-3.50
I  0.5842  0.2500  0.8462  5 La 3.29-3.50
Br  0.3668  0.7500  0.5443  3 La 3.00-3.05
Br  0.6332  0.2500  0.4557  3 La 3.00-3.05

Values from the calculation:
Total magnetization (μB per atom): 0.030
Formation energy (no corrections) (eV/atom): -1.09
Volume (Å³ per atom): 34.64
Calculated total energy (eV per atom): -4.758